ZrPRu2 | the Alexandria database | GGA-PBE | relaxed; calculated volume = 62.6 Å³/cell; final energy = -33.79 eV/cell; formation enthalpy at 0 K = -0.320 eV/atom; magnetization = 0.00 μB/cell
1.0
3.078 0.000 0.000
0.000 3.731 0.000
0.000 0.000 5.452
Zr P Ru
1 1 2
Direct
0.000 0.000 0.479 Zr
0.500 0.500 0.815 P
0.000 0.000 0.950 Ru
0.500 0.500 0.255 Ru

***

CdInPt4 | the Alexandria database | GGA-PBE | relaxed; calculated volume = 102.3 Å³/cell; final energy = -29.26 eV/cell; formation enthalpy at 0 K = -0.241 eV/atom; magnetization = 0.00 μB/cell; energy above the lowest structure with this stoichiometry = 0 meV per atom
1.0
2.800 0.000 0.810
1.516 4.851 0.005
-0.636 -1.038 7.443
Cd In Pt
1 1 4
Direct
0.500 0.500 0.500 Cd
0.000 0.000 0.000 In
0.826 0.511 0.836 Pt
0.339 0.991 0.331 Pt
0.174 0.489 0.164 Pt
0.661 0.009 0.669 Pt

***

LaTl2P2 | the Alexandria database | GGA-PBE | relaxed; calculated volume = 131.9 Å³/cell; final energy = -22.73 eV/cell; formation enthalpy at 0 K = -0.450 eV/atom; magnetization = 0.00 μB/cell; energy above the lowest structure with this stoichiometry = 0 meV per atom
1.0
4.248 0.000 0.000
0.000 4.248 0.000
2.124 2.124 7.306
P Tl La
2 2 1
Direct
0.425 0.425 0.150 P
0.575 0.575 0.850 P
0.750 0.250 0.500 Tl
0.250 0.750 0.500 Tl
0.000 0.000 0.000 La

***

Ca2BeCo | the Alexandria database | GGA-PBE | relaxed; calculated volume = 89.8 Å³/cell; final energy = -14.00 eV/cell; formation enthalpy at 0 K = 0.208 eV/atom; magnetization = 0.00 μB/cell
1.0
6.337 0.076 -0.323
5.252 3.547 -0.323
1.688 0.528 3.972
Be Ca Co
1 2 1
Direct
0.174 0.174 0.326 Be
0.989 0.989 0.011 Ca
0.753 0.753 0.747 Ca
0.584 0.584 0.416 Co

***

LiMg2Te2 | the Alexandria database | GGA-PBE | relaxed; calculated volume = 252.0 Å³/cell; final energy = -27.72 eV/cell; magnetization = 0.00 μB/cell; formation energy without anion corrections = -47.8 kJ per mole of atoms; energy above the lowest structure with this stoichiometry = 104 meV per atom
1.0
-7.738 2.101 0.136
-2.041 -7.360 -2.444
-0.252 -1.169 3.732
Mg Te Li
4 4 2
Direct
0.369 0.869 0.000 Mg
0.869 0.631 0.000 Mg
0.631 0.131 0.000 Mg
0.131 0.369 0.000 Mg
0.175 0.675 0.500 Te
0.675 0.825 0.500 Te
0.825 0.325 0.500 Te
0.325 0.175 0.500 Te
0.000 0.000 0.000 Li
0.500 0.500 0.000 Li

***

Pm3TmSc2Te6 | the Alexandria database | GGA-PBE | relaxed; calculated volume = 347.0 Å³/cell; final energy = -65.41 eV/cell; magnetization = 0.00 μB/cell; formation energy without anion corrections = -122.0 kJ per mole of atoms
1.0
4.298 0.000 0.000
0.000 8.774 0.205
-2.149 -2.641 9.141
Pm Tm Sc Te
3 1 2 6
Direct
0.500 0.500 0.000 Pm
0.836 0.172 0.672 Pm
0.164 0.828 0.328 Pm
0.500 0.000 0.000 Tm
0.832 0.665 0.664 Sc
0.168 0.335 0.336 Sc
0.335 0.903 0.670 Te
0.672 0.569 0.344 Te
0.665 0.097 0.330 Te
0.007 0.244 0.015 Te
0.993 0.756 0.985 Te
0.328 0.431 0.656 Te

***

Zn4Pd5Au | the Alexandria database | GGA-PBE | relaxed; calculated volume = 148.7 Å³/cell; final energy = -39.14 eV/cell; formation enthalpy at 0 K = -0.480 eV/atom; magnetization = 0.00 μB/cell
1.0
2.930 0.000 0.000
0.000 2.930 0.000
0.000 0.000 17.322
Zn Pd Au
4 5 1
Direct
0.000 0.000 0.208 Zn
0.000 0.000 0.403 Zn
0.000 0.000 0.597 Zn
0.000 0.000 0.792 Zn
0.500 0.500 0.115 Pd
0.500 0.500 0.306 Pd
0.500 0.500 0.500 Pd
0.500 0.500 0.694 Pd
0.500 0.500 0.885 Pd
0.000 0.000 0.000 Au

***

TcNiCl2 | the Alexandria database | GGA-PBE | relaxed; calculated volume = 76.6 Å³/cell; final energy = -20.06 eV/cell; magnetization = 0.08 μB/cell; formation energy without anion corrections = -5.2 kJ per mole of atoms; energy above the lowest structure with this stoichiometry = 0 meV per atom
1.0
3.174 0.000 0.000
0.000 3.109 0.062
0.000 1.425 7.788
Ni Tc Cl
1 1 2
Direct
0.000 0.551 0.526 Ni
0.500 0.968 0.688 Tc
0.000 0.853 0.914 Cl
0.500 0.128 0.371 Cl

***

Ac2LaPO8 | the Alexandria database | GGA-PBE | relaxed; calculated volume = 169.4 Å³/cell; final energy = -87.91 eV/cell; magnetization = 2.06 μB/cell; formation energy without anion corrections = -238.7 kJ per mole of atoms
1.0
5.489 0.000 0.000
-2.744 4.754 0.000
0.000 0.000 6.493
Ac La P O
2 1 1 8
Direct
0.667 0.333 0.141 Ac
0.333 0.667 0.859 Ac
0.000 0.000 0.500 La
0.000 0.000 0.000 P
0.853 0.706 0.842 O
0.294 0.147 0.842 O
0.853 0.147 0.842 O
0.147 0.294 0.158 O
0.706 0.853 0.158 O
0.147 0.853 0.158 O
0.667 0.333 0.481 O
0.333 0.667 0.519 O

***

Pm2SmIr | the Alexandria database | GGA-PBE | relaxed; calculated volume = 465.5 Å³/cell; final energy = -99.97 eV/cell; formation enthalpy at 0 K = -0.478 eV/atom; magnetization = 0.00 μB/cell; energy above the lowest structure with this stoichiometry = 0 meV per atom
1.0
-2.240 2.923 -5.337
-6.395 -3.530 0.751
-3.417 7.352 5.461
Pm Sm Ir
8 4 4
Direct
0.172 0.676 0.065 Pm
0.328 0.176 0.435 Pm
0.828 0.324 0.565 Pm
0.672 0.824 0.935 Pm
0.828 0.324 0.935 Pm
0.672 0.824 0.565 Pm
0.172 0.676 0.435 Pm
0.328 0.176 0.065 Pm
0.643 0.536 0.250 Sm
0.857 0.036 0.250 Sm
0.357 0.464 0.750 Sm
0.143 0.964 0.750 Sm
0.057 0.381 0.250 Ir
0.443 0.881 0.250 Ir
0.943 0.619 0.750 Ir
0.557 0.119 0.750 Ir

***

Ba2CaNd | the Alexandria database | GGA-PBE | relaxed; calculated volume = 190.5 Å³/cell; final energy = -10.04 eV/cell; formation enthalpy at 0 K = 0.145 eV/atom; magnetization = 0.00 μB/cell; energy above the lowest structure with this stoichiometry = 2 meV per atom
1.0
4.043 0.000 0.000
2.022 3.502 0.000
2.022 1.167 13.453
Ba Ca Nd
2 1 1
Direct
0.081 0.081 0.758 Ba
0.253 0.253 0.242 Ba
0.500 0.500 0.499 Ca
0.666 0.666 0.001 Nd